DFT (PBEsol) results for a relaxed TaAlTl2 crystal.

Output
E (eV/f.u.): -18.62
Spin magnetization (Bohr magnetons per cell): 1.3
Space-group type: F-43m, No. 216

The structure in POSCAR format:
```
TaAlTl2
1.0
0.000 3.501 3.501
3.501 0.000 3.501
3.501 3.501 0.000
Ta Al Tl
1 1 2
direct
0.000 0.000 0.000
0.250 0.250 0.250
0.500 0.500 0.500
0.750 0.750 0.750
```

---

DFT (PBEsol) results for a relaxed TaAlW2 crystal.

Output
E (eV/f.u.): -44.30
Spin magnetization (Bohr magnetons per cell): 0.0
Space-group type: C2/m, No. 12

The structure in POSCAR format:
```
TaAlW2
1.0
2.745 -4.487 0.000
2.745 4.487 0.000
-0.918 0.000 2.577
Ta Al W
1 1 2
direct
0.000 0.000 0.000
0.500 0.500 0.000
0.000 0.500 0.500
0.500 0.000 0.500
```

---

DFT (PBEsol) results for a relaxed TaAlW2 crystal.

Output
E (eV/f.u.): -44.26
Spin magnetization (Bohr magnetons per cell): 0.0
Space-group type: P2/m, No. 10

The structure in POSCAR format:
```
TaAlW2
1.0
2.728 0.000 0.000
0.000 4.499 0.000
-0.880 0.000 5.191
Ta Al W
1 1 2
direct
0.000 0.000 0.000
0.500 0.000 0.500
0.244 0.500 0.749
0.756 0.500 0.251
```

---

DFT (PBEsol) results for a relaxed TaAlW2 crystal.

Output
E (eV/f.u.): -43.87
Spin magnetization (Bohr magnetons per cell): 0.0
Space-group type: I-4m2, No. 119

The structure in POSCAR format:
```
TaAlW2
1.0
-2.142 2.142 3.475
2.142 -2.142 3.475
2.142 2.142 -3.475
Ta Al W
1 1 2
direct
0.000 0.000 0.000
0.250 0.750 0.500
0.500 0.500 0.000
0.750 0.250 0.500
```

---

DFT (PBEsol) results for a relaxed TaAlW2 crystal.

Output
E (eV/f.u.): -44.32
Spin magnetization (Bohr magnetons per cell): 0.0
Space-group type: Pm, No. 6

The structure in POSCAR format:
```
TaAlW2
1.0
2.737 0.000 0.000
0.000 4.493 0.000
-0.968 0.000 5.190
Ta Al W
1 1 2
direct
0.000 0.000 0.000
0.312 0.500 0.753
0.511 0.000 0.494
0.742 0.500 0.264
```

---

DFT (PBEsol) results for a relaxed TaAlW crystal.

Output
E (eV/f.u.): -29.94
Spin magnetization (Bohr magnetons per cell): 0.0
Space-group type: P3m1, No. 156

The structure in POSCAR format:
```
TaAlW
1.0
2.827 0.000 0.000
-1.413 2.448 0.000
0.000 0.000 7.095
Ta Al W
1 1 1
direct
0.000 0.000 0.000
0.667 0.333 0.334
0.333 0.667 0.652
```

---

The lowest E belongs to which entry?
number 5

---

What is the E in the second record?
-44.30 eV/f.u.

---

Which of these has the highest E?
TaAlTl2